Material: NaMoIrO6
Method: DFT, PBE+U
State: relaxed

It has space group P-31c (No. 163), with a = 5.2942 Å, b = 5.2942 Å, c = 10.2379 Å, α = 90.00°, β = 90.00° and γ = 120.00°. The inequivalent atoms are Na at (0.0000, 0.0000, 0.0000), Mo at (0.3333, 0.6667, 0.2500), Ir at (0.3333, 0.6667, 0.7500) and O at (0.0027, 0.3775, 0.1472).

The total magnetic moment comes out at 4.084 μB per cell. Its total energy is -115.69 eV for the cell shown.